Density functional theory data (PBE+U) for an optimized crystal structure of Li4CrCo3P4O16.

a = 4.754 Å, b = 6.085 Å, c = 10.296 Å
α = 90.00°, β = 90.78°, γ = 90.00°
Fractional positions:
Li: 0.000 0.248 0.000
Li: 0.000 0.752 0.000
Li: 0.486 0.248 0.503
Li: 0.486 0.752 0.503
Cr: 0.534 0.500 0.221
Co: 0.020 0.000 0.281
Co: 0.470 0.000 0.778
Co: 0.973 0.500 0.722
P: 0.070 0.500 0.410
P: 0.419 0.500 0.907
P: 0.583 0.000 0.094
P: 0.907 0.000 0.598
O: 0.191 0.500 0.551
O: 0.200 0.294 0.342
O: 0.200 0.706 0.342
O: 0.231 0.000 0.603
O: 0.260 0.000 0.100
O: 0.279 0.297 0.838
O: 0.279 0.703 0.838
O: 0.304 0.500 0.049
O: 0.697 0.000 0.953
O: 0.724 0.200 0.166
O: 0.724 0.800 0.166
O: 0.742 0.500 0.903
O: 0.745 0.500 0.404
O: 0.774 0.203 0.670
O: 0.774 0.797 0.670
O: 0.784 0.000 0.457

Values from the calculation:
VASP energy: -6.74 eV/atom